Entry 1
First-principles (PBE-GGA) data for a relaxed ErAuSO crystal, as listed in the Open Quantum Materials Database.

Lattice parameters (Å, degrees): 3.8684 3.8684 9.0897 90.00 90.00 90.00
Space group P4mm (No. 99)
Unique sites:
Er 0.0000 0.0000 0.0000 x1
Er 0.5000 0.5000 0.2439 x1
Au 0.0000 0.5000 0.6232 x2
S 0.0000 0.0000 0.4046 x1
S 0.5000 0.5000 0.8409 x1
O 0.0000 0.5000 0.1220 x2

Properties
Theoretical density ... 10.1 g/cm³

=====

Entry 2
First-principles (PBE-GGA) data for a relaxed ErAuSO crystal, as listed in the Open Quantum Materials Database.

Lattice parameters (Å, degrees): 5.5473 9.0652 5.5644 90.00 90.00 90.00
Space group Pcca (No. 54)
Unique sites:
Er 0.0000 0.1190 0.2500 x4
Au 0.2500 0.5000 0.2479 x4
S 0.0000 0.2811 0.7500 x4
O 0.2500 0.0000 0.4993 x4

Properties
Theoretical density ... 9.8 g/cm³

=====

Entry 3
First-principles (PBE-GGA) data for a relaxed ErAuSO crystal, as listed in the Open Quantum Materials Database.

Lattice parameters (Å, degrees): 8.3436 5.7605 5.7098 90.00 91.07 90.00
Space group P2_1/c (No. 14)
Unique sites:
Er 0.1164 0.0154 0.2514 x4
Au 0.4900 0.6881 0.1869 x4
S 0.2837 0.0552 0.8137 x4
O 0.0179 0.7487 0.0006 x4

Properties
Theoretical density ... 10.0 g/cm³

=====

It turns out entry 2 is the most stable, with the second structure 3.4 kJ/mol of atoms higher.

=====

Entry 1
First-principles (PBE-GGA) data for a relaxed ErAuSO crystal, as listed in the Open Quantum Materials Database.

Lattice parameters (Å, degrees): 5.4716 5.4716 9.0899 90.00 90.00 90.00
Space group P-42m (No. 111)
Unique sites:
Er 0.2500 0.2500 0.1217 x4
Au 0.0000 0.0000 0.5000 x1
Au 0.0000 0.5000 0.5000 x2
Au 0.5000 0.5000 0.5000 x1
S 0.2488 0.2488 0.7182 x4
O 0.0000 0.0000 0.0000 x1
O 0.0000 0.5000 0.0000 x2
O 0.5000 0.5000 0.0000 x1

Properties
Theoretical density ... 10.1 g/cm³

=====

Entry 2
First-principles (PBE-GGA) data for a relaxed ErAuSO crystal, as listed in the Open Quantum Materials Database.

Lattice parameters (Å, degrees): 9.0838 5.5451 5.5640 90.00 90.00 90.00
Space group Aem2 (No. 39)
Unique sites:
Er 0.1184 0.2500 0.0000 x4
Au 0.5000 0.0000 0.0011 x4
S 0.2816 0.2500 0.5011 x4
O 0.0000 0.0000 0.2501 x4

Properties
Theoretical density ... 9.8 g/cm³

=====

It turns out entry 2 is the most stable, with the second structure 11.9 kJ/mol of atoms higher.

=====

Entry 1
First-principles (PBE-GGA) data for a relaxed ErOsAu crystal, as listed in the Open Quantum Materials Database.

Lattice parameters (Å, degrees): 6.4521 6.4521 6.4521 90.00 90.00 90.00
Space group F-43m (No. 216)
Unique sites:
Er 0.0000 0.0000 0.0000 x4
Os 0.2500 0.2500 0.2500 x4
Au 0.2500 0.2500 0.7500 x4

Properties
Theoretical density ... 13.7 g/cm³

=====

Entry 2
First-principles (PBE-GGA) data for a relaxed ErOsAu crystal, as listed in the Open Quantum Materials Database.

Lattice parameters (Å, degrees): 6.4361 6.4361 6.4361 90.00 90.00 90.00
Space group F-43m (No. 216)
Unique sites:
Er 0.0000 0.0000 0.0000 x4
Os 0.2500 0.2500 0.7500 x4
Au 0.0000 0.0000 0.5000 x4

Properties
Theoretical density ... 13.8 g/cm³

=====

It turns out entry 2 is the most stable, with the second structure 29.5 kJ/mol of atoms higher.

=====

Entry 1
First-principles (PBE-GGA) data for a relaxed ErPbAuS3 crystal, as listed in the Open Quantum Materials Database.

Lattice parameters (Å, degrees): 7.6599 3.9781 9.7003 90.00 107.26 90.00
Space group P2_1/m (No. 11)
Unique sites:
Er 0.1892 0.2500 0.1628 x2
Pb 0.2349 0.7500 0.7078 x2
Au 0.3683 0.7500 0.4156 x2
S 0.0729 0.2500 0.8725 x2
S 0.1810 0.2500 0.4532 x2
S 0.4388 0.7500 0.1790 x2

Properties
Theoretical density ... 7.9 g/cm³

=====

Entry 2
First-principles (PBE-GGA) data for a relaxed ErPbAuS3 crystal, as listed in the Open Quantum Materials Database.

Lattice parameters (Å, degrees): 4.0924 14.3606 10.3283 90.00 90.00 90.00
Space group Cmcm (No. 63)
Unique sites:
Er 0.0000 0.0000 0.0000 x4
Pb 0.0000 0.3058 0.2500 x4
Au 0.0000 0.3599 0.7500 x4
S 0.0000 0.0594 0.7500 x4
S 0.0000 0.3730 0.5247 x8

Properties
Theoretical density ... 7.3 g/cm³

=====

It turns out entry 2 is the most stable, with the second structure 6.4 kJ/mol of atoms higher.

=====

Entry 1
First-principles (PBE-GGA) data for a relaxed ErPbAuS3 crystal, as listed in the Open Quantum Materials Database.

Lattice parameters (Å, degrees): 13.2072 3.9623 10.5909 90.00 90.00 90.00
Space group Pnma (No. 62)
Unique sites:
Er 0.0139 0.2500 0.1693 x4
Pb 0.2268 0.2500 0.4580 x4
Au 0.0080 0.7500 0.4010 x4
S 0.1036 0.2500 0.9379 x4
S 0.1203 0.7500 0.6315 x4
S 0.1460 0.7500 0.2422 x4

Properties
Theoretical density ... 8.0 g/cm³

=====

Entry 2
First-principles (PBE-GGA) data for a relaxed ErPbAuS3 crystal, as listed in the Open Quantum Materials Database.

Lattice parameters (Å, degrees): 11.6256 4.0496 12.7494 90.00 90.00 90.00
Space group Pnma (No. 62)
Unique sites:
Er 0.0290 0.2500 0.1534 x4
Pb 0.1556 0.2500 0.5586 x4
Au 0.2185 0.7500 0.3716 x4
S 0.0328 0.7500 0.2996 x4
S 0.0955 0.2500 0.9419 x4
S 0.2425 0.7500 0.6804 x4

Properties
Theoretical density ... 7.4 g/cm³

=====

Entry 3
First-principles (PBE-GGA) data for a relaxed ErPbAuS3 crystal, as listed in the Open Quantum Materials Database.

Lattice parameters (Å, degrees): 17.4848 3.9089 8.2622 90.00 102.55 90.00
Space group C2/m (No. 12)
Unique sites:
Er 0.1635 0.0000 0.0893 x4
Pb 0.1319 0.0000 0.5801 x4
Au 0.0408 0.5000 0.2212 x4
S 0.0000 0.0000 0.0000 x2
S 0.0000 0.5000 0.5000 x2
S 0.1752 0.5000 0.8643 x4
S 0.1871 0.5000 0.3265 x4

Properties
Theoretical density ... 8.0 g/cm³

=====

It turns out entry 2 is the most stable, with the second structure 2.4 kJ/mol of atoms higher.

=====

Entry 1
First-principles (PBE-GGA) data for a relaxed ErPbAuS3 crystal, as listed in the Open Quantum Materials Database.

Lattice parameters (Å, degrees): 10.4495 3.9831 13.1696 90.00 90.00 90.00
Space group Pnma (No. 62)
Unique sites:
Er 0.0197 0.2500 0.2437 x4
Pb 0.2280 0.7500 0.4971 x4
Au 0.2366 0.2500 0.7006 x4
S 0.0262 0.2500 0.6165 x4
S 0.0649 0.7500 0.1056 x4
S 0.2321 0.7500 0.8352 x4

Properties
Theoretical density ... 8.1 g/cm³

=====

Entry 2
First-principles (PBE-GGA) data for a relaxed ErPbAuS3 crystal, as listed in the Open Quantum Materials Database.

Lattice parameters (Å, degrees): 10.2682 4.0604 14.6213 90.00 90.00 90.00
Space group Pnma (No. 62)
Unique sites:
Er 0.1677 0.2500 0.0247 x4
Pb 0.0167 0.7500 0.2993 x4
Au 0.2483 0.7500 0.8276 x4
S 0.0225 0.7500 0.1041 x4
S 0.1690 0.7500 0.6796 x4
S 0.1709 0.2500 0.4763 x4

Properties
Theoretical density ... 7.3 g/cm³

=====

It turns out entry 2 is the most stable, with the second structure 7.9 kJ/mol of atoms higher.

=====

Entry 1
First-principles (PBE-GGA) data for a relaxed ErSnAuS3 crystal, as listed in the Open Quantum Materials Database.

Lattice parameters (Å, degrees): 4.0391 14.1727 10.2229 90.00 90.00 90.00
Space group Cmcm (No. 63)
Unique sites:
Er 0.0000 0.0000 0.0000 x4
Sn 0.0000 0.3072 0.2500 x4
Au 0.0000 0.3509 0.7500 x4
S 0.0000 0.0638 0.7500 x4
S 0.0000 0.3704 0.5220 x8

Properties
Theoretical density ... 6.6 g/cm³

=====

Entry 2
First-principles (PBE-GGA) data for a relaxed ErSnAuS3 crystal, as listed in the Open Quantum Materials Database.

Lattice parameters (Å, degrees): 11.5230 3.9616 12.7671 90.00 90.00 90.00
Space group Pnma (No. 62)
Unique sites:
Er 0.0239 0.2500 0.1518 x4
Sn 0.1557 0.2500 0.5674 x4
Au 0.2078 0.7500 0.3839 x4
S 0.0262 0.7500 0.2999 x4
S 0.1004 0.2500 0.9452 x4
S 0.2429 0.7500 0.6826 x4

Properties
Theoretical density ... 6.6 g/cm³

=====

Entry 3
First-principles (PBE-GGA) data for a relaxed ErSnAuS3 crystal, as listed in the Open Quantum Materials Database.

Lattice parameters (Å, degrees): 17.3977 3.8678 8.2085 90.00 103.13 90.00
Space group C2/m (No. 12)
Unique sites:
Er 0.1639 0.0000 0.0908 x4
Sn 0.1314 0.0000 0.5810 x4
Au 0.0421 0.5000 0.2236 x4
S 0.0000 0.0000 0.0000 x2
S 0.0000 0.5000 0.5000 x2
S 0.1741 0.5000 0.8589 x4
S 0.1894 0.5000 0.3305 x4

Properties
Theoretical density ... 7.2 g/cm³

=====

Entry 4
First-principles (PBE-GGA) data for a relaxed ErSnAuS3 crystal, as listed in the Open Quantum Materials Database.

Lattice parameters (Å, degrees): 7.6655 3.9708 9.6013 90.00 107.62 90.00
Space group P2_1/m (No. 11)
Unique sites:
Er 0.1957 0.2500 0.1654 x2
Sn 0.2155 0.7500 0.7065 x2
Au 0.3630 0.7500 0.4251 x2
S 0.0729 0.2500 0.8706 x2
S 0.1700 0.2500 0.4555 x2
S 0.4417 0.7500 0.1897 x2

Properties
Theoretical density ... 6.9 g/cm³

=====

It turns out entry 1 is the most stable, with the second structure 3.8 kJ/mol of atoms higher.